Record 1
A geometry-optimized LaHfSc structure, computed with GGA-PBE.

Properties
ΔE_f	1.068	eV/atom

a = 7.0680 Å, b = 7.0680 Å, c = 7.0680 Å
α = 90.00°, β = 90.00°, γ = 90.00°
Space group F-43m (No. 216)
Inequivalent atoms, fractional coordinates:
La 0.0000 0.0000 0.0000 x4
Hf 0.2500 0.2500 0.7500 x4
Sc 0.2500 0.2500 0.2500 x4

Record 2
A geometry-optimized DyTcSb structure, computed with GGA-PBE.

a = 6.6630 Å, b = 6.6630 Å, c = 6.6630 Å
α = 90.00°, β = 90.00°, γ = 90.00°
Space group F-43m (No. 216)
Inequivalent atoms, fractional coordinates:
Dy 0.0000 0.0000 0.0000 x4
Tc 0.0000 0.0000 0.5000 x4
Sb 0.2500 0.2500 0.2500 x4

Record 3
A geometry-optimized La2Pr2CBr3F2 structure, computed with GGA-PBE.

a = 17.9456 Å, b = 3.9032 Å, c = 8.2773 Å
α = 90.00°, β = 104.06°, γ = 90.00°
Space group C2/m (No. 12)
Inequivalent atoms, fractional coordinates:
La 0.1456 0.0000 0.0897 x4
Pr 0.0028 0.5000 0.2102 x4
C 0.0000 0.0000 0.0000 x2
Br 0.0000 0.0000 0.5000 x2
Br 0.1693 0.5000 0.8182 x4
F 0.1459 0.5000 0.2691 x4

Record 4
A geometry-optimized SrLi3TaN3 structure, computed with GGA-PBE.

a = 6.1148 Å, b = 6.1148 Å, c = 19.7209 Å
α = 90.00°, β = 90.00°, γ = 120.00°
Space group R-3 (No. 148, hexagonal axes)
Inequivalent atoms, fractional coordinates:
Sr 0.0000 0.0000 0.1585 x6
Li 0.0347 0.4106 0.3665 x18
Ta 0.0000 0.0000 0.4287 x6
N 0.9997 0.3074 0.5927 x18

Record 5
A geometry-optimized ZnTePtO structure, computed with GGA-PBE.

a = 6.3965 Å, b = 13.7497 Å, c = 6.8286 Å
α = 90.00°, β = 90.00°, γ = 90.00°
Space group Pbca (No. 61)
Inequivalent atoms, fractional coordinates:
Zn 0.0062 0.2468 0.1267 x8
Te 0.0027 0.5129 0.7487 x8
Pt 0.2463 0.5880 0.4803 x8
O 0.1797 0.2484 0.8754 x8

Record 6
A geometry-optimized GdLuPO structure, computed with GGA-PBE.

a = 4.2785 Å, b = 4.2785 Å, c = 8.5526 Å
α = 90.00°, β = 90.00°, γ = 90.00°
Space group P4/nmm (No. 129, origin choice 2)
Inequivalent atoms, fractional coordinates:
Gd 0.2500 0.2500 0.1097 x2
Lu 0.2500 0.7500 0.5000 x2
P 0.2500 0.2500 0.6887 x2
O 0.2500 0.7500 0.0000 x2

Record 7
A geometry-optimized BeZnSO structure, computed with GGA-PBE.

a = 4.4052 Å, b = 4.4052 Å, c = 5.7008 Å
α = 90.00°, β = 90.00°, γ = 90.00°
Space group P4/nmm (No. 129, origin choice 2)
Inequivalent atoms, fractional coordinates:
Be 0.2500 0.2500 0.1741 x2
Zn 0.2500 0.2500 0.7364 x2
S 0.2500 0.7500 0.0000 x2
O 0.2500 0.2500 0.4216 x2

Record 8
A geometry-optimized Dy3Ho3FeBi2 structure, computed with GGA-PBE.

a = 8.3197 Å, b = 8.3197 Å, c = 4.1485 Å
α = 90.00°, β = 90.00°, γ = 120.00°
Space group P-62m (No. 189)
Inequivalent atoms, fractional coordinates:
Dy 0.0000 0.6069 0.0000 x3
Ho 0.0000 0.2290 0.5000 x3
Fe 0.0000 0.0000 0.0000 x1
Bi 0.3333 0.6667 0.5000 x2

Record 9
A geometry-optimized Lu2Hg structure, computed with GGA-PBE.

Properties
ΔE_f	1.302	eV/atom

a = 12.7046 Å, b = 12.7046 Å, c = 12.7046 Å
α = 90.00°, β = 90.00°, γ = 90.00°
Space group Fd-3m (No. 227, origin choice 2)
Inequivalent atoms, fractional coordinates:
Lu 0.0000 0.0000 0.0000 x16
Hg 0.1250 0.1250 0.1250 x8

Record 10
A geometry-optimized HfSi4Ir3 structure, computed with GGA-PBE.

a = 8.1789 Å, b = 8.1789 Å, c = 4.2969 Å
α = 90.00°, β = 90.00°, γ = 120.00°
Space group P6_3/m (No. 176)
Inequivalent atoms, fractional coordinates:
Hf 0.3333 0.6667 0.2500 x2
Si 0.0000 0.0000 0.0000 x2
Si 0.0398 0.6128 0.7500 x6
Ir 0.0717 0.3396 0.7500 x6

Record 11
A geometry-optimized RbNiAs structure, computed with GGA-PBE.

a = 7.7879 Å, b = 7.7879 Å, c = 7.7879 Å
α = 90.00°, β = 90.00°, γ = 90.00°
Space group F-43m (No. 216)
Inequivalent atoms, fractional coordinates:
Rb 0.0000 0.0000 0.0000 x4
Ni 0.2500 0.2500 0.2500 x4
As 0.2500 0.2500 0.7500 x4

Record 12
A geometry-optimized AgGeTe3Au structure, computed with GGA-PBE.

a = 4.0676 Å, b = 17.1863 Å, c = 8.8134 Å
α = 90.00°, β = 90.00°, γ = 90.00°
Space group Cmcm (No. 63)
Inequivalent atoms, fractional coordinates:
Ag 0.0000 0.0287 0.2500 x4
Ge 0.0000 0.2601 0.7500 x4
Te 0.0000 0.1615 0.0597 x8
Te 0.0000 0.4082 0.2500 x4
Au 0.0000 0.5000 0.0000 x4

Quick rundown of raw total energy, same order as above: -6.001; -6.278; -5.690; -6.369; -4.325; -6.851; -4.271; -5.316; -1.813; -7.722; -2.295; -3.272 eV per atom